No. 1
A relaxed structure of Ba2NaGaGe2. Source: Alexandria, functional GGA-PBE.

Structure (POSCAR):
```
Ba2NaGaGe2
1.0
-3.560 7.462 3.375
3.560 -7.462 3.375
3.560 7.462 -3.375
Ba Na Ga Ge
4 2 2 4
Direct
0.163 0.235 0.398
0.337 0.735 0.072
0.663 0.265 0.928
0.837 0.765 0.602
0.250 0.750 0.500
0.750 0.250 0.500
0.250 0.250 0.000
0.750 0.750 0.000
0.102 0.787 0.889
0.398 0.287 0.685
0.602 0.713 0.315
0.898 0.213 0.111
```

Computed properties:
Calculated formation energy, meV/atom: -423



No. 2
A relaxed structure of Ba2Na2GaGe4. Source: Alexandria, functional GGA-PBE.

Structure (POSCAR):
```
Ba2Na2GaGe4
1.0
-3.419 3.419 5.067
3.419 -3.419 5.067
3.419 3.419 -5.067
Ba Na Ga Ge
2 2 1 4
Direct
0.250 0.750 0.500
0.750 0.250 0.500
0.217 0.217 0.000
0.783 0.783 0.000
0.500 0.500 0.000
0.214 0.214 0.427
0.214 0.786 0.000
0.786 0.214 0.000
0.786 0.786 0.573
```

Computed properties:
Calculated formation energy, meV/atom: -195



No. 3
A relaxed structure of Ba2NaGa3Ge4. Source: Alexandria, functional GGA-PBE.

Structure (POSCAR):
```
Ba2NaGa3Ge4
1.0
4.778 0.000 0.000
0.000 4.778 0.000
0.000 0.000 10.727
Ba Na Ga Ge
2 1 3 4
Direct
0.000 0.500 0.242
0.500 0.000 0.758
0.000 0.000 0.500
0.000 0.500 0.881
0.500 0.000 0.119
0.500 0.500 0.500
0.000 0.000 0.000
0.000 0.500 0.643
0.500 0.000 0.357
0.500 0.500 0.000
```

Computed properties:
Calculated formation energy, meV/atom: -338



No. 4
A relaxed structure of BaNaGa2Ge2. Source: Alexandria, functional GGA-PBE.

Structure (POSCAR):
```
BaNaGa2Ge2
1.0
4.314 0.000 0.000
-2.157 3.736 0.000
0.000 0.000 9.820
Ba Na Ga Ge
1 1 2 2
Direct
0.000 0.000 0.000
0.000 0.000 0.500
0.333 0.667 0.746
0.667 0.333 0.254
0.333 0.667 0.270
0.667 0.333 0.730
```

Computed properties:
Calculated formation energy, meV/atom: -329



No. 5
A relaxed structure of Ba2NaGa4Ge3. Source: Alexandria, functional GGA-PBE.

Structure (POSCAR):
```
Ba2NaGa4Ge3
1.0
4.656 0.000 0.000
0.000 4.656 0.000
0.000 0.000 11.516
Ba Na Ga Ge
2 1 4 3
Direct
0.000 0.500 0.239
0.500 0.000 0.761
0.000 0.000 0.500
0.000 0.000 0.000
0.000 0.500 0.641
0.500 0.000 0.359
0.500 0.500 0.000
0.000 0.500 0.876
0.500 0.000 0.124
0.500 0.500 0.500
```

Computed properties:
Calculated formation energy, meV/atom: -287



No. 6
A relaxed structure of Ba2GaGeO. Source: Alexandria, functional GGA-PBE.

Structure (POSCAR):
```
Ba2GaGeO
1.0
7.057 0.000 0.000
0.000 4.285 0.000
-3.312 0.000 9.085
Ba Ga Ge O
4 2 2 2
Direct
0.207 0.250 0.392
0.217 0.250 0.972
0.783 0.750 0.028
0.793 0.750 0.608
0.472 0.750 0.262
0.528 0.250 0.738
0.327 0.750 0.712
0.673 0.250 0.288
0.181 0.750 0.148
0.819 0.250 0.852
```

Computed properties:
Raw formation energy, eV per formula unit: -6.06



No. 7
A relaxed structure of Ba3Ga2Ge4O14. Source: Alexandria, functional GGA-PBE.

Structure (POSCAR):
```
Ba3Ga2Ge4O14
1.0
8.711 0.000 0.000
-4.355 7.544 0.000
0.000 0.000 5.097
Ba Ga Ge O
3 2 4 14
Direct
0.000 0.573 0.000
0.427 0.427 0.000
0.573 0.000 0.000
0.333 0.667 0.496
0.667 0.333 0.504
0.000 0.000 0.000
0.000 0.245 0.500
0.245 0.000 0.500
0.755 0.755 0.500
0.098 0.893 0.230
0.107 0.205 0.230
0.164 0.448 0.648
0.205 0.107 0.770
0.284 0.836 0.648
0.333 0.667 0.148
0.448 0.164 0.352
0.552 0.716 0.648
0.667 0.333 0.852
0.716 0.552 0.352
0.795 0.902 0.230
0.836 0.284 0.352
0.893 0.098 0.770
0.902 0.795 0.770
```

Computed properties:
Raw formation energy, eV per formula unit: -48.37



No. 8
A relaxed structure of BaGa2GeOs. Source: Alexandria, functional GGA-PBE.

Structure (POSCAR):
```
BaGa2GeOs
1.0
4.899 0.000 0.000
0.000 4.899 0.000
0.000 0.000 4.861
Ba Ga Ge Os
1 2 1 1
Direct
0.000 0.000 0.000
0.000 0.500 0.500
0.500 0.000 0.500
0.500 0.500 0.000
0.500 0.500 0.500
```

Computed properties:
Calculated formation energy, meV/atom: -255



No. 9
A relaxed structure of Ba2Ga2Ge2P. Source: Alexandria, functional GGA-PBE.

Structure (POSCAR):
```
Ba2Ga2Ge2P
1.0
10.926 0.000 0.000
0.000 4.991 0.000
-5.163 0.000 6.735
Ba Ga Ge P
4 4 4 2
Direct
0.070 0.000 0.319
0.430 0.500 0.681
0.570 0.500 0.319
0.930 0.000 0.681
0.222 0.500 0.855
0.278 0.000 0.145
0.722 0.000 0.855
0.778 0.500 0.145
0.149 0.500 0.102
0.351 0.000 0.898
0.649 0.000 0.102
0.851 0.500 0.898
0.000 0.500 0.500
0.500 0.000 0.500
```

Computed properties:
Calculated formation energy, meV/atom: -528



No. 10
A relaxed structure of Ba2Ga4GePd3. Source: Alexandria, functional GGA-PBE.

Structure (POSCAR):
```
Ba2Ga4GePd3
1.0
4.551 0.000 0.000
0.000 4.551 0.000
0.000 0.000 10.695
Ba Ga Ge Pd
2 4 1 3
Direct
0.000 0.500 0.247
0.500 0.000 0.753
0.000 0.000 0.500
0.000 0.500 0.869
0.500 0.000 0.131
0.500 0.500 0.500
0.500 0.500 0.000
0.000 0.000 0.000
0.000 0.500 0.621
0.500 0.000 0.379
```

Computed properties:
Calculated formation energy, meV/atom: -601



No. 11
A relaxed structure of Ba2GaGePd6. Source: Alexandria, functional GGA-PBE.

Structure (POSCAR):
```
Ba2GaGePd6
1.0
5.821 0.000 0.000
2.909 6.192 0.000
2.900 -0.876 6.237
Ba Ga Ge Pd
2 1 1 6
Direct
0.050 0.205 0.195
0.950 0.795 0.805
0.500 0.500 0.000
0.500 0.000 0.500
0.002 0.272 0.715
0.377 0.373 0.372
0.488 0.728 0.285
0.512 0.272 0.715
0.623 0.627 0.628
0.998 0.728 0.285
```

Computed properties:
Calculated formation energy, meV/atom: -606



No. 12
A relaxed structure of Ba2Ga3Ge4Pd. Source: Alexandria, functional GGA-PBE.

Structure (POSCAR):
```
Ba2Ga3Ge4Pd
1.0
4.673 0.000 0.000
0.000 4.673 0.000
0.000 0.000 10.516
Ba Ga Ge Pd
2 3 4 1
Direct
0.000 0.500 0.247
0.500 0.000 0.753
0.000 0.000 0.000
0.000 0.500 0.628
0.500 0.000 0.372
0.000 0.000 0.500
0.000 0.500 0.880
0.500 0.000 0.120
0.500 0.500 0.500
0.500 0.500 0.000
```

Computed properties:
Calculated formation energy, meV/atom: -439



Number 1: DOS(E_F) 1.487 states/eV/cell, spin magnetization 0.000 μB per cell. Number 2: DOS(E_F) 4.518 states/eV/cell, spin magnetization 0.000 μB per cell. Number 3: DOS(E_F) 3.174 states/eV/cell, spin magnetization 0.000 μB per cell. Number 4: DOS(E_F) 1.213 states/eV/cell, spin magnetization 0.000 μB per cell. Number 5: DOS(E_F) 7.200 states/eV/cell, spin magnetization 0.000 μB per cell. Number 6: DOS(E_F) 4.004 states/eV/cell, spin magnetization 0.000 μB per cell. Number 7: DOS(E_F) 0.000 states/eV/cell, spin magnetization 0.000 μB per cell. Number 8: DOS(E_F) 1.845 states/eV/cell, spin magnetization 0.000 μB per cell. Number 9: DOS(E_F) 2.478 states/eV/cell, spin magnetization 0.000 μB per cell. Number 10: DOS(E_F) 5.516 states/eV/cell, spin magnetization 0.000 μB per cell. Number 11: DOS(E_F) 3.768 states/eV/cell, spin magnetization 0.000 μB per cell. Number 12: DOS(E_F) 4.160 states/eV/cell, spin magnetization 0.000 μB per cell.